## one
This record from Alexandria describes HoUP2 after structural relaxation. The functional is PBE-GGA.

Lattice parameters (Å, degrees): 7.3226 7.3226 7.3226 30.50 30.50 30.50
Sites, in units of the cell vectors:
Ho: 0.0000 0.0000 0.0000
U: 0.8282 0.8282 0.8282
P: 0.4127 0.4127 0.4127
P: 0.5811 0.5811 0.5811

D(E_F) = 4.675 states/eV per cell
SG = R3m (160)
Total moment = 0.694 μB per atom

***

## two
This record from Alexandria describes HoUP2 after structural relaxation. The functional is PBE-GGA.

Lattice parameters (Å, degrees): 6.9265 6.9265 6.9265 33.03 33.03 33.03
Sites, in units of the cell vectors:
Ho: 0.0000 0.0000 0.0000
U: 0.5000 0.5000 0.5000
P: 0.2488 0.2488 0.2488
P: 0.7512 0.7512 0.7512

D(E_F) = 4.232 states/eV per cell
SG = R-3m (166)
Total moment = 0.572 μB per atom

***

Energetically preferred structure: two | next structure: +177 meV/atom